# 1
Computed, not measured: a geometry-optimized NdErGe structure at the GGA-PBE level of DFT.

Computed properties:
relative energy among the computed polymorphs	0	meV/atom
formation enthalpy at 0 K	-0.52	eV per atom
SG	F-43m (216)
total energy	-5.167	eV/atom
total magnetic moment	0.0	μB per cell

abc: 4.953 4.953 4.953
angles: 60.00 60.00 60.00
Sites, in units of the cell vectors:
Nd 0.000 0.000 0.000
Er 0.500 0.500 0.500
Ge 0.750 0.750 0.750

***

# 2
Computed, not measured: a geometry-optimized ZrScFe2Hg structure at the GGA-PBE level of DFT.

Computed properties:
formation enthalpy at 0 K	1.57	eV per atom
SG	P4/mmm (123)
total energy	-4.850	eV/atom
total magnetic moment	0.7	μB per cell

abc: 4.768 4.768 5.123
angles: 90.00 90.00 90.00
Sites, in units of the cell vectors:
Zr 0.000 0.000 0.000
Sc 0.500 0.500 0.000
Fe 0.000 0.500 0.500
Fe 0.500 0.000 0.500
Hg 0.000 0.000 0.500

***

# 3
Computed, not measured: a geometry-optimized PuTl2SnTe4 structure at the GGA-PBE level of DFT.

Computed properties:
energy relative to the elements, uncorrected	-515.8	meV/atom
SG	P2/m (10)
total energy	-4.970	eV/atom
total magnetic moment	4.3	μB per cell

abc: 7.973 4.489 8.320
angles: 90.00 107.91 90.00
Sites, in units of the cell vectors:
Pu 0.000 0.000 0.000
Tl 0.000 0.500 0.500
Tl 0.500 0.000 0.500
Sn 0.500 0.500 0.000
Te 0.232 0.500 0.213
Te 0.251 0.000 0.783
Te 0.749 0.000 0.217
Te 0.768 0.500 0.787

***

# 4
Computed, not measured: a geometry-optimized Tb5DySi4 structure at the GGA-PBE level of DFT.

Computed properties:
energy relative to the elements, uncorrected	-532.3	meV/atom
SG	C2/m (12)
total energy	-5.477	eV/atom
total magnetic moment	0.0	μB per cell

abc: 7.945 7.945 6.817
angles: 90.07 90.07 36.20
Sites, in units of the cell vectors:
Tb 0.000 0.000 0.000
Tb 0.335 0.335 0.005
Tb 0.335 0.335 0.494
Tb 0.665 0.665 0.506
Tb 0.665 0.665 0.995
Dy 0.000 0.000 0.500
Si 0.177 0.177 0.750
Si 0.491 0.491 0.749
Si 0.509 0.509 0.251
Si 0.823 0.823 0.250

***

# 5
Computed, not measured: a geometry-optimized Ca2MgScCu structure at the GGA-PBE level of DFT.

Computed properties:
formation enthalpy at 0 K	0.71	eV per atom
SG	P4/mmm (123)
total energy	-2.499	eV/atom
total magnetic moment	0.7	μB per cell

abc: 5.962 5.962 4.692
angles: 90.00 90.00 90.00
Sites, in units of the cell vectors:
Ca 0.000 0.500 0.000
Ca 0.500 0.000 0.000
Mg 0.000 0.000 0.500
Sc 0.500 0.500 0.000
Cu 0.500 0.500 0.500

***

# 6
Computed, not measured: a geometry-optimized LiNdGe2 structure at the GGA-PBE level of DFT.

Computed properties:
relative energy among the computed polymorphs	0	meV/atom
formation enthalpy at 0 K	-0.67	eV per atom
SG	Pnma (62)
total energy	-4.647	eV/atom
total magnetic moment	0.0	μB per cell

abc: 7.841 3.978 10.688
angles: 90.00 90.00 90.00
Sites, in units of the cell vectors:
Li 0.011 0.250 0.109
Li 0.489 0.750 0.609
Li 0.511 0.250 0.391
Li 0.989 0.750 0.891
Nd 0.139 0.750 0.365
Nd 0.361 0.250 0.865
Nd 0.639 0.750 0.135
Nd 0.861 0.250 0.635
Ge 0.155 0.750 0.684
Ge 0.223 0.750 0.066
Ge 0.277 0.250 0.566
Ge 0.345 0.250 0.184
Ge 0.655 0.750 0.816
Ge 0.723 0.750 0.434
Ge 0.777 0.250 0.934
Ge 0.845 0.250 0.316

***

# 7
Computed, not measured: a geometry-optimized ScTiCu structure at the GGA-PBE level of DFT.

Computed properties:
relative energy among the computed polymorphs	27	meV/atom
formation enthalpy at 0 K	-0.06	eV per atom
SG	Cm (8)
total energy	-6.164	eV/atom
total magnetic moment	0.3	μB per cell

abc: 7.490 7.490 4.587
angles: 90.09 90.09 23.80
Sites, in units of the cell vectors:
Sc 0.000 0.000 0.000
Sc 0.137 0.137 0.501
Ti 0.317 0.317 0.002
Ti 0.440 0.440 0.500
Cu 0.671 0.671 0.002
Cu 0.792 0.792 0.503

***

# 8
Computed, not measured: a geometry-optimized Rb2Sn2O3 structure at the GGA-PBE level of DFT.

Computed properties:
energy relative to the elements, uncorrected	-1429.1	meV/atom
SG	I2_13 (199)
total energy	-4.974	eV/atom
total magnetic moment	0.0	μB per cell

abc: 7.634 7.634 7.634
angles: 109.47 109.47 109.47
Sites, in units of the cell vectors:
Rb 0.000 0.004 0.500
Rb 0.004 0.500 0.000
Rb 0.496 0.496 0.496
Rb 0.500 0.000 0.004
Sn 0.000 0.471 0.500
Sn 0.029 0.029 0.029
Sn 0.471 0.500 0.000
Sn 0.500 0.000 0.471
O 0.243 0.993 0.250
O 0.250 0.243 0.993
O 0.257 0.507 0.750
O 0.507 0.750 0.257
O 0.750 0.257 0.507
O 0.993 0.250 0.243

***

# 9
Computed, not measured: a geometry-optimized NbCrSe3 structure at the GGA-PBE level of DFT.

Computed properties:
energy relative to the elements, uncorrected	-422.4	meV/atom
relative energy among the computed polymorphs	0	meV/atom
SG	Pnma (62)
total energy	-6.452	eV/atom
total magnetic moment	11.8	μB per cell

abc: 6.948 9.793 6.683
angles: 90.00 90.00 90.00
Sites, in units of the cell vectors:
Nb 0.000 0.000 0.000
Nb 0.000 0.500 0.000
Nb 0.500 0.000 0.500
Nb 0.500 0.500 0.500
Cr 0.246 0.250 0.036
Cr 0.254 0.750 0.536
Cr 0.746 0.250 0.464
Cr 0.754 0.750 0.964
Se 0.085 0.750 0.861
Se 0.165 0.559 0.341
Se 0.165 0.941 0.341
Se 0.335 0.059 0.841
Se 0.335 0.441 0.841
Se 0.415 0.250 0.361
Se 0.585 0.750 0.639
Se 0.665 0.559 0.159
Se 0.665 0.941 0.159
Se 0.835 0.059 0.659
Se 0.835 0.441 0.659
Se 0.915 0.250 0.139

***

# 10
Computed, not measured: a geometry-optimized Ce2HgBi structure at the GGA-PBE level of DFT.

Computed properties:
relative energy among the computed polymorphs	47	meV/atom
formation enthalpy at 0 K	-0.44	eV per atom
SG	Fm-3m (225)
total energy	-4.453	eV/atom
total magnetic moment	3.3	μB per cell

abc: 5.501 5.501 5.501
angles: 60.00 60.00 60.00
Sites, in units of the cell vectors:
Ce 0.250 0.250 0.250
Ce 0.750 0.750 0.750
Hg 0.000 0.000 0.000
Bi 0.500 0.500 0.500

***

# 11
Computed, not measured: a geometry-optimized BaBeTc2 structure at the GGA-PBE level of DFT.

Computed properties:
formation enthalpy at 0 K	0.95	eV per atom
SG	Immm (71)
total energy	-5.640	eV/atom
total magnetic moment	0.0	μB per cell

abc: 5.835 5.835 5.835
angles: 151.59 130.76 57.83
Sites, in units of the cell vectors:
Ba 0.000 0.000 0.000
Be 0.500 0.500 0.000
Tc 0.297 0.797 0.500
Tc 0.703 0.203 0.500

***

# 12
Computed, not measured: a geometry-optimized NaRuSN2 structure at the GGA-PBE level of DFT.

Computed properties:
energy relative to the elements, uncorrected	2514.0	meV/atom
relative energy among the computed polymorphs	2094	meV/atom
SG	P4/mmm (123)
total energy	-3.761	eV/atom
total magnetic moment	8.4	μB per cell

abc: 4.147 4.147 5.263
angles: 90.00 90.00 90.00
Sites, in units of the cell vectors:
Na 0.000 0.000 0.000
Ru 0.500 0.500 0.500
S 0.000 0.000 0.500
N 0.000 0.500 0.000
N 0.500 0.000 0.000

***

Q: Number 5 is which compound?
A: Ca2MgScCu